# Cd5Ag3Au12, optimized geometry, DFT PBE-GGA
data_Cd5Ag3Au12
_chemical_formula_sum 'Cd40 Ag24 Au96'
_space_group_name_H-M_alt 'I a -3 d'
_space_group_IT_number 230
_space_group_name_Hall '-I 4bd 2c 3'
_cell_length_a 16.012
_cell_length_b 16.012
_cell_length_c 16.012
_cell_angle_alpha 90.00
_cell_angle_beta 90.00
_cell_angle_gamma 90.00
loop_
_atom_site_label
_atom_site_fract_x
_atom_site_fract_y
_atom_site_fract_z
_atom_site_occupancy
Cd1 0.000 0.000 0.000 1
Cd2 0.000 0.250 0.375 1
Ag1 0.000 0.250 0.125 1
Au1 0.004 0.075 0.653 1
# Spin magnetization ... 0.00 μB/f.u.
# DFT formation energy ... 0.2215 eV/atom
# Fermi-level density of states ... 61.2 states/eV per cell